This record from OQMD via LeMat-Bulk describes an optimized crystal structure of Al4PtAu. The functional is PBE.

```
6
Lattice="4.2440 0.0000 0.0000 0.0000 4.2440 0.0000 0.0000 0.0000 6.0247" Properties=species:S:1:pos:R:3 pbc="T T T"
Al 0.0000 2.1220 1.4440
Al 0.0000 2.1220 4.5807
Al 2.1220 0.0000 1.4440
Al 2.1220 0.0000 4.5807
Pt 0.0000 0.0000 0.0000
Au 2.1220 2.1220 3.0124
```

This record from OQMD via LeMat-Bulk describes an optimized crystal structure of CdTePbO. The functional is PBE.

```
16
Lattice="4.2389 0.0000 0.0000 0.0000 14.8392 0.0000 0.0000 0.0000 6.5883" Properties=species:S:1:pos:R:3 pbc="T T T"
Cd 0.0000 0.6926 0.0000
Cd 0.0000 14.1466 3.2942
Cd 2.1195 6.7270 3.2942
Cd 2.1195 8.1122 0.0000
Te 0.0000 5.1075 4.3153
Te 0.0000 9.7317 1.0212
Te 2.1195 2.3121 1.0212
Te 2.1195 12.5271 4.3153
Pb 0.0000 5.0056 0.9040
Pb 0.0000 9.8336 4.1981
Pb 2.1195 2.4140 4.1981
Pb 2.1195 12.4252 0.9040
O 0.0000 1.1741 4.4221
O 0.0000 13.6651 1.1280
O 2.1195 6.2455 1.1280
O 2.1195 8.5937 4.4221
```

Distance to the lowest polymorph of the same formula = 0 meV per atom

This record from OQMD via LeMat-Bulk describes an optimized crystal structure of TmTcPO. The functional is PBE.

```
8
Lattice="4.4353 0.0000 0.0000 0.0000 4.4353 0.0000 0.0000 0.0000 7.4960" Properties=species:S:1:pos:R:3 pbc="T T T"
Tm 1.1088 3.3265 0.0000
Tm 3.3265 1.1088 0.0000
Tc 1.1088 1.1088 3.6488
Tc 3.3265 3.3265 3.8471
P 1.1088 1.1088 6.0389
P 3.3265 3.3265 1.4570
O 1.1088 3.3265 3.7480
O 3.3265 1.1088 3.7480
```

Distance to the lowest polymorph of the same formula = 1657 meV per atom

In order of appearance, uncorrected energy = -28.332; -61.675; -52.606 eV per cell.